No. 1
Compound: SrLa2Cu
Source: Alexandria
Functional: GGA-PBE
Structure: relaxed

Properties
Its crystal system is orthorhombic. The value obtained for the energy is -3.63 eV/atom. For the magnetic moment, the calculation gives 0.00 μB/f.u. Its density of states at the Fermi level is 3.92 states/eV/f.u. Its space group is Cmmm, No. 65. As for the energy of formation: 6.46 kcal/mol of atoms.

Cell lengths 5.419, 5.419, 4.380 Å; angles 90.00, 90.00, 90.08 degrees
Positions (direct):
1 La 0.500 0.500 0.000
2 La 0.000 0.000 0.000
3 Cu 0.000 0.500 0.500
4 Sr 0.500 0.000 0.500

No. 2
Compound: PuHCl
Source: Alexandria
Functional: GGA-PBE
Structure: relaxed

Properties
Its crystal system is monoclinic. The value obtained for the energy is -7.56 eV/atom. For the magnetic moment, the calculation gives 6.00 μB/f.u. Its density of states at the Fermi level is 10.50 states/eV/f.u. Its space group is C2/m, No. 12.

Cell lengths 3.652, 3.689, 9.113 Å; angles 90.05, 101.56, 90.00 degrees
Each line ends with the local moment (μB).
Positions (direct):
1 H 0.751 0.750 0.501  -0.03
2 H 0.249 0.250 0.499  -0.03
3 Pu 0.829 0.250 0.658  5.64
4 Pu 0.171 0.750 0.342  5.64
5 Cl 0.594 0.249 0.189  -0.03
6 Cl 0.406 0.751 0.811  -0.03

No. 3
Compound: Hg2MoAu4
Source: Alexandria
Functional: GGA-PBE
Structure: relaxed

Properties
Its crystal system is tetragonal. The value obtained for the energy is -2.74 eV/atom. For the magnetic moment, the calculation gives 1.76 μB/f.u. Its density of states at the Fermi level is 5.90 states/eV/f.u. Its space group is I4/mmm, No. 139. As for the energy of formation: 17.69 kcal/mol of atoms.

Cell lengths 5.174, 5.174, 7.853 Å; angles 70.77, 70.77, 90.00 degrees
Each line ends with the local moment (μB).
Positions (direct):
1 Hg 0.381 0.381 0.237  0.01
2 Hg 0.619 0.619 0.763  0.01
3 Au 0.814 0.814 0.372  0.05
4 Au 0.000 0.500 0.000  0.04
5 Au 0.500 0.000 0.000  0.04
6 Au 0.186 0.186 0.628  0.05
7 Mo 0.000 0.000 0.000  1.33

No. 4
Compound: NaZn3Ni2
Source: Alexandria
Functional: GGA-PBE
Structure: relaxed

Properties
Its crystal system is orthorhombic. The value obtained for the energy is -2.90 eV/atom. For the magnetic moment, the calculation gives 0.00 μB/f.u. Its density of states at the Fermi level is 2.36 states/eV/f.u. Its space group is Cmcm, No. 63. As for the energy of formation: -2.63 kcal/mol of atoms.

Cell lengths 5.165, 6.294, 6.294 Å; angles 100.91, 90.00, 90.00 degrees
Positions (direct):
1 Ni 0.500 0.212 0.788
2 Ni 0.000 0.788 0.212
3 Ni 0.000 0.212 0.788
4 Ni 0.500 0.788 0.212
5 Zn 0.250 0.947 0.529
6 Zn 0.250 0.965 0.965
7 Zn 0.250 0.529 0.947
8 Zn 0.750 0.035 0.035
9 Zn 0.750 0.471 0.053
10 Zn 0.750 0.053 0.471
11 Na 0.250 0.365 0.365
12 Na 0.750 0.635 0.635

No. 5
Compound: YZrTlCr2
Source: Alexandria
Functional: GGA-PBE
Structure: relaxed

Properties
Its crystal system is tetragonal. The value obtained for the energy is -5.41 eV/atom. For the magnetic moment, the calculation gives 0.00 μB/f.u. Its density of states at the Fermi level is 11.01 states/eV/f.u. Its space group is P4/mmm, No. 123. As for the energy of formation: 44.16 kcal/mol of atoms.

Cell lengths 4.647, 5.258, 4.647 Å; angles 90.00, 90.00, 90.00 degrees
Positions (direct):
1 Tl 0.500 0.500 0.500
2 Y 0.000 0.000 0.000
3 Cr 0.000 0.000 0.500
4 Cr 0.500 0.000 0.000
5 Zr 0.000 0.500 0.000

No. 6
Compound: KPuVN3
Source: Alexandria
Functional: GGA-PBE
Structure: relaxed

Properties
Its crystal system is monoclinic. The value obtained for the energy is -8.96 eV/atom. For the magnetic moment, the calculation gives 3.67 μB/f.u. Its density of states at the Fermi level is 6.38 states/eV/f.u. Its formation energy without anion corrections is -0.70 eV per atom. Its space group is C2/m, No. 12.

Cell lengths 3.764, 6.876, 7.636 Å; angles 104.06, 90.00, 105.88 degrees
Each line ends with the local moment (μB).
Positions (direct):
1 V 0.998 0.996 0.681  0.27
2 V 0.002 0.004 0.319  0.27
3 Pu 0.344 0.688 0.426  3.93
4 Pu 0.656 0.312 0.574  3.93
5 N 0.830 0.659 0.601  -0.25
6 N 0.857 0.714 0.249  -0.16
7 N 0.170 0.341 0.399  -0.25
8 N 0.489 0.979 0.694  -0.12
9 N 0.511 0.021 0.306  -0.12
10 N 0.143 0.286 0.751  -0.16
11 K 0.358 0.715 0.938  0.00
12 K 0.642 0.285 0.062  0.00